No. 1
A relaxed structure of AcNdGa2. Source: Alexandria via LeMat-Bulk, functional GGA-PBE.

Cell: 4.2902 6.1757 8.6516 Å, 90.00 90.00 90.00°
With the nearest neighbours (Å) after each atom.
Atoms (fractional coordinates):
Ga (0.0000, 0.6482, 0.5285)  2 Ga 2.67
Ga (0.5000, 0.8907, 0.4698)  2 Ga 2.67
Ga (0.0000, 0.3518, 0.0285)  2 Ga 2.67
Ga (0.5000, 0.1093, 0.9698)  2 Ga 2.67
Nd (0.0000, 0.8662, 0.1820)  7 Ga 3.20-3.44
Nd (0.0000, 0.1338, 0.6820)  7 Ga 3.20-3.44
Ac (0.5000, 0.6272, 0.8197)  7 Ga 3.25-3.45
Ac (0.5000, 0.3728, 0.3197)  7 Ga 3.25-3.45


No. 2
A relaxed structure of Ac2NdGa6. Source: Alexandria via LeMat-Bulk, functional GGA-PBE.

Cell: 4.5932 7.5440 7.5440 Å, 120.00 90.00 90.00°
With the nearest neighbours (Å) after each atom.
Atoms (fractional coordinates):
Ac (0.0000, 0.6667, 0.3333)  12 Ga 3.42
Ac (0.0000, 0.3333, 0.6667)  12 Ga 3.42
Ga (0.5000, 0.3294, 0.3294)  3 Ga 2.49-2.57
Ga (0.5000, 0.0000, 0.6706)  3 Ga 2.49-2.57
Ga (0.5000, 0.6706, 0.0000)  3 Ga 2.49-2.57
Ga (0.5000, 0.6706, 0.6706)  3 Ga 2.49-2.57
Ga (0.5000, 0.0000, 0.3294)  3 Ga 2.49-2.57
Ga (0.5000, 0.3294, 0.0000)  3 Ga 2.49-2.57
Nd (0.0000, 0.0000, 0.0000)  12 Ga 3.38


No. 3
A relaxed structure of AcNdGa2. Source: Alexandria via LeMat-Bulk, functional GGA-PBE.

Cell: 4.7462 7.1032 7.1245 Å, 90.00 90.00 109.52°
With the nearest neighbours (Å) after each atom.
Atoms (fractional coordinates):
Ac (0.9395, 0.8791, 0.2500)  8 Ga 3.32-3.47
Ac (0.0605, 0.1209, 0.7500)  8 Ga 3.32-3.47
Ga (0.6011, 0.2022, 0.4336)  2 Ga 2.62-2.87
Ga (0.3989, 0.7978, 0.9336)  2 Ga 2.62-2.87
Ga (0.3989, 0.7978, 0.5664)  2 Ga 2.62-2.87
Ga (0.6011, 0.2022, 0.0664)  2 Ga 2.62-2.87
Nd (0.7786, 0.5573, 0.7500)  6 Ga 3.15-3.28
Nd (0.2214, 0.4427, 0.2500)  6 Ga 3.15-3.28


No. 4
A relaxed structure of AcNdGaNi. Source: Alexandria via LeMat-Bulk, functional GGA-PBE.

Cell: 5.2680 5.2680 5.2680 Å, 60.00 60.00 60.00°
With the nearest neighbours (Å) after each atom.
Atoms (fractional coordinates):
Nd (0.5000, 0.5000, 0.5000)  4 Ga 3.23, 4 Ni 3.23
Ni (0.7500, 0.7500, 0.7500)  4 Nd 3.23, 4 Ac 3.23
Ac (0.0000, 0.0000, 0.0000)  4 Ni 3.23, 4 Ga 3.23
Ga (0.2500, 0.2500, 0.2500)  4 Ac 3.23, 4 Nd 3.23


No. 5
A relaxed structure of AcNdGaNi. Source: Alexandria via LeMat-Bulk, functional GGA-PBE.

Cell: 3.9944 4.4393 6.3525 Å, 90.00 108.32 90.00°
With the nearest neighbours (Å) after each atom.
Atoms (fractional coordinates):
Nd (0.0191, 0.0000, 0.0382)  2 Ni 2.90, 4 Ga 3.07
Ni (0.3442, 0.0000, 0.6885)  2 Ga 2.62, 2 Nd 2.90
Ac (0.7473, 0.5000, 0.4946)  4 Ni 3.21, 3 Ga 3.24-3.48
Ga (0.4590, 0.5000, 0.9180)  2 Ni 2.62


No. 6
A relaxed structure of AcNdGaPd. Source: Alexandria via LeMat-Bulk, functional GGA-PBE.

Cell: 4.5375 4.5743 5.7915 Å, 90.00 113.06 90.00°
With the nearest neighbours (Å) after each atom.
Atoms (fractional coordinates):
Ga (0.5615, 0.5000, 0.1230)  2 Pd 2.68
Nd (0.8602, 0.5000, 0.7205)  3 Ga 3.12-3.18, 4 Pd 3.31
Pd (0.4306, 0.0000, 0.8612)  2 Ga 2.68
Ac (0.1477, 0.0000, 0.2953)  3 Pd 3.02-3.24, 4 Ga 3.35


In eV/f.u., the total energy values for the records above are, in order, -17.052 -36.924 -17.162 -18.702 -19.242 -19.611.
In μB per formula unit, the total magnetic moment values for the records above are, in order, 0.00 0.00 0.00 0.00 0.00 0.00.